No. 1
Compound: Y8Cd2Os
Source: Alexandria
Functional: PBE-GGA
Structure: relaxed

Results
**Space group**: No. 12

abc: 9.2738 9.2738 6.9838
angles: 109.26 109.26 33.31
Fractional coordinates of all 11 atoms:
Y  0.0208  0.0208  0.2917
Y  0.1981  0.1981  0.7933
Y  0.3471  0.3471  0.5445
Y  0.4086  0.4086  0.0773
Y  0.5914  0.5914  0.9227
Y  0.6529  0.6529  0.4555
Y  0.8019  0.8019  0.2067
Y  0.9792  0.9792  0.7083
Cd  0.1808  0.1808  0.2074
Cd  0.8192  0.8192  0.7926
Os  0.5000  0.5000  0.5000

---

No. 2
Compound: YCd3Os
Source: Alexandria
Functional: PBE-GGA
Structure: relaxed

Results
**Space group**: No. 221
**Energy relative to the lowest polymorph listed for this composition**: 1.395 eV per atom

abc: 5.7125 5.7125 5.7125
angles: 90.00 90.00 90.00
Fractional coordinates of all 5 atoms:
Y  0.0000  0.0000  0.0000
Cd  0.0000  0.0000  0.5000
Cd  0.0000  0.5000  0.0000
Cd  0.5000  0.0000  0.0000
Os  0.5000  0.5000  0.5000

---

No. 3
Compound: Y6CdOs2
Source: Alexandria
Functional: PBE-GGA
Structure: relaxed

Results
**Space group**: No. 71

abc: 8.5379 8.5379 8.5379
angles: 112.33 112.07 104.14
Fractional coordinates of all 18 atoms:
Y  0.0395  0.2434  0.7962
Y  0.1841  0.2799  0.4640
Y  0.1841  0.7201  0.9042
Y  0.3299  0.0148  0.6849
Y  0.3299  0.6450  0.3151
Y  0.4472  0.2434  0.2038
Y  0.5528  0.7566  0.7962
Y  0.6701  0.3550  0.6849
Y  0.6701  0.9852  0.3151
Y  0.8159  0.2799  0.0958
Y  0.8159  0.7201  0.5360
Y  0.9605  0.7566  0.2038
Cd  0.0000  0.0000  0.0000
Cd  0.5000  0.5000  0.0000
Os  0.1189  0.6189  0.5000
Os  0.3254  0.0000  0.3254
Os  0.6746  0.0000  0.6746
Os  0.8811  0.3811  0.5000

---

No. 4
Compound: YCdOs2
Source: Alexandria
Functional: PBE-GGA
Structure: relaxed

Results
**Space group**: No. 123

abc: 2.9441 2.9441 8.5323
angles: 90.00 90.00 90.00
Fractional coordinates of all 4 atoms:
Y  0.0000  0.0000  0.0000
Cd  0.0000  0.0000  0.5000
Os  0.5000  0.5000  0.2592
Os  0.5000  0.5000  0.7408

---

No. 5
Compound: YCd4Os
Source: Alexandria
Functional: PBE-GGA
Structure: relaxed

Results
**Space group**: No. 216

abc: 5.5781 5.5781 5.5781
angles: 60.00 60.00 60.00
Fractional coordinates of all 6 atoms:
Y  0.0000  0.0000  0.0000
Cd  0.1276  0.6241  0.6241
Cd  0.6241  0.1276  0.6241
Cd  0.6241  0.6241  0.1276
Cd  0.6241  0.6241  0.6241
Os  0.2500  0.2500  0.2500

---

No. 6
Compound: YCdOs2
Source: Alexandria
Functional: PBE-GGA
Structure: relaxed

Results
**Space group**: No. 123

abc: 4.1560 4.1560 4.2131
angles: 90.00 90.00 90.00
Fractional coordinates of all 4 atoms:
Y  0.0000  0.0000  0.0000
Cd  0.5000  0.5000  0.0000
Os  0.0000  0.5000  0.5000
Os  0.5000  0.0000  0.5000

---

No. 7
Compound: YCdOs2
Source: Alexandria
Functional: PBE-GGA
Structure: relaxed

Results
**Space group**: No. 6

abc: 2.9012 3.6720 7.3741
angles: 90.00 90.10 90.00
Fractional coordinates of all 4 atoms:
Y  0.0000  0.0000  0.0000
Cd  0.5001  0.5000  0.3176
Os  0.0000  0.0000  0.5750
Os  0.5013  0.5000  0.7197

---

No. 8
Compound: Y2CdOs
Source: Alexandria
Functional: PBE-GGA
Structure: relaxed

Results
**Space group**: No. 160

abc: 10.1415 10.1415 10.1415
angles: 19.21 19.21 19.21
Fractional coordinates of all 4 atoms:
Y  0.0000  0.0000  0.0000
Y  0.2242  0.2242  0.2242
Cd  0.7545  0.7545  0.7545
Os  0.4912  0.4912  0.4912

---

Calculated raw total energy, -66.802, -10.776, -128.756, -27.198, -20.191, -28.239, -29.151, -23.629 eV per cell (same order as the records).